No. 1
## Al2IrWAu (PBE-GGA)

Data for a relaxed structure of Al2IrWAu.

Density of states at the Fermi level, states/eV per atom: 1.0021
ρ, g/cm3: 10.1
Final energy, eV per cell: -25.6
Crystal system: tetragonal

Lattice parameters (Å, degrees): 4.5366 4.5366 5.0187 90.00 90.00 90.00
Element x y z (fractional)
Al (0.0000, 0.5000, 0.0000)
Al (0.5000, 0.0000, 0.0000)
Ir (0.0000, 0.0000, 0.5000)
W (0.5000, 0.5000, 0.5000)
Au (0.5000, 0.5000, 0.0000)


No. 2
## NaBiCl2 (PBE-GGA)

Data for a relaxed structure of NaBiCl2.

Offset from the most stable computed form, eV per atom: 0.5406
Uncorrected formation energy, eV/atom: -0.582
Density of states at the Fermi level, states/eV per atom: 0.8890
ρ, g/cm3: 4.9
Crystal system: cubic

Lattice parameters (Å, degrees): 7.4170 7.4170 7.4170 90.00 90.00 90.00
Element x y z (fractional)
Na (0.0000, 0.0000, 0.0000)
Na (0.0000, 0.5000, 0.5000)
Na (0.5000, 0.0000, 0.5000)
Na (0.5000, 0.5000, 0.0000)
Bi (0.0000, 0.0000, 0.5000)
Bi (0.0000, 0.5000, 0.0000)
Bi (0.5000, 0.0000, 0.0000)
Bi (0.5000, 0.5000, 0.5000)
Cl (0.2500, 0.2500, 0.2500)
Cl (0.2500, 0.2500, 0.7500)
Cl (0.2500, 0.7500, 0.2500)
Cl (0.2500, 0.7500, 0.7500)
Cl (0.7500, 0.2500, 0.2500)
Cl (0.7500, 0.2500, 0.7500)
Cl (0.7500, 0.7500, 0.2500)
Cl (0.7500, 0.7500, 0.7500)


No. 3
## Cs3LiMn2Br9 (PBE-GGA)

Data for a relaxed structure of Cs3LiMn2Br9.

Uncorrected formation energy, eV/atom: -1.270
Density of states at the Fermi level, states/eV per atom: 0.1425
ρ, g/cm3: 4.3
Crystal system: trigonal

Lattice parameters (Å, degrees): 7.6347 7.6347 9.4072 90.00 90.00 120.00
Element x y z (fractional)
Cs (0.0000, 0.0000, 0.0000)
Cs (0.3333, 0.6667, 0.6621)
Cs (0.6667, 0.3333, 0.3379)
Li (0.0000, 0.0000, 0.5000)
Mn (0.3333, 0.6667, 0.1727)
Mn (0.6667, 0.3333, 0.8273)
Br (0.0000, 0.5000, 0.0000)
Br (0.1712, 0.3424, 0.3225)
Br (0.1712, 0.8288, 0.3225)
Br (0.3424, 0.1712, 0.6775)
Br (0.5000, 0.0000, 0.0000)
Br (0.5000, 0.5000, 0.0000)
Br (0.6576, 0.8288, 0.3225)
Br (0.8288, 0.1712, 0.6775)
Br (0.8288, 0.6576, 0.6775)


No. 4
## TcSO (PBE-GGA)

Data for a relaxed structure of TcSO.

Offset from the most stable computed form, eV per atom: 0.3101
Uncorrected formation energy, eV/atom: -0.604
Density of states at the Fermi level, states/eV per atom: 1.1712
ρ, g/cm3: 5.4
Crystal system: trigonal

Lattice parameters (Å, degrees): 2.9944 2.9944 5.7756 90.00 90.00 120.00
Element x y z (fractional)
Tc (0.0000, 0.0000, 0.0000)
S (0.3333, 0.6667, 0.2819)
O (0.6667, 0.3333, 0.7946)


No. 5
## MgHgSBr2 (PBE-GGA)

Data for a relaxed structure of MgHgSBr2.

Uncorrected formation energy, eV/atom: 0.047
Density of states at the Fermi level, states/eV per atom: 0.4441
ρ, g/cm3: 4.6
Crystal system: tetragonal

Lattice parameters (Å, degrees): 5.4879 5.4879 5.0341 90.00 90.00 90.00
Element x y z (fractional)
Mg (0.0000, 0.0000, 0.0000)
Hg (0.5000, 0.5000, 0.5000)
S (0.5000, 0.5000, 0.0000)
Br (0.0000, 0.5000, 0.5000)
Br (0.5000, 0.0000, 0.5000)


No. 6
## LiUMnOs (PBE-GGA)

Data for a relaxed structure of LiUMnOs.

Density of states at the Fermi level, states/eV per atom: 1.3696
ρ, g/cm3: 12.9
Final energy, eV per cell: -131.2
Crystal system: cubic

Lattice parameters (Å, degrees): 6.3181 6.3181 6.3181 90.00 90.00 90.00
Element x y z (fractional)
Li (0.0000, 0.0000, 0.0000)
Li (0.0000, 0.5000, 0.5000)
Li (0.5000, 0.0000, 0.5000)
Li (0.5000, 0.5000, 0.0000)
U (0.0000, 0.0000, 0.5000)
U (0.0000, 0.5000, 0.0000)
U (0.5000, 0.0000, 0.0000)
U (0.5000, 0.5000, 0.5000)
Mn (0.2500, 0.2500, 0.2500)
Mn (0.2500, 0.7500, 0.7500)
Mn (0.7500, 0.2500, 0.7500)
Mn (0.7500, 0.7500, 0.2500)
Os (0.2500, 0.2500, 0.7500)
Os (0.2500, 0.7500, 0.2500)
Os (0.7500, 0.2500, 0.2500)
Os (0.7500, 0.7500, 0.7500)


No. 7
## Li2PPtO4 (PBE-GGA)

Data for a relaxed structure of Li2PPtO4.

Uncorrected formation energy, eV/atom: -1.575
ρ, g/cm3: 5.7
Crystal system: tetragonal

Lattice parameters (Å, degrees): 5.7279 5.7279 5.4102 90.00 90.00 90.00
Element x y z (fractional)
Li (0.0000, 0.0000, 0.0000)
Li (0.0000, 0.5000, 0.2500)
Li (0.5000, 0.0000, 0.7500)
Li (0.5000, 0.5000, 0.5000)
P (0.0000, 0.5000, 0.7500)
P (0.5000, 0.0000, 0.2500)
Pt (0.0000, 0.0000, 0.5000)
Pt (0.5000, 0.5000, 0.0000)
O (0.1437, 0.3386, 0.9283)
O (0.1614, 0.6437, 0.5717)
O (0.3386, 0.8563, 0.0717)
O (0.3563, 0.1614, 0.4283)
O (0.6437, 0.8386, 0.4283)
O (0.6614, 0.1437, 0.0717)
O (0.8386, 0.3563, 0.5717)
O (0.8563, 0.6614, 0.9283)


No. 8
## BaAsRhBr2 (PBE-GGA)

Data for a relaxed structure of BaAsRhBr2.

Offset from the most stable computed form, eV per atom: 1.1779
Uncorrected formation energy, eV/atom: 0.402
Density of states at the Fermi level, states/eV per atom: 0.7834
ρ, g/cm3: 3.1
Crystal system: tetragonal

Lattice parameters (Å, degrees): 6.2215 6.2215 6.5587 90.00 90.00 90.00
Element x y z (fractional)
Ba (0.0000, 0.0000, 0.0000)
As (0.0000, 0.0000, 0.5000)
Rh (0.5000, 0.5000, 0.5000)
Br (0.0000, 0.5000, 0.0000)
Br (0.5000, 0.0000, 0.0000)


No. 9
## Zn3Ni8 (PBE-GGA)

Data for a relaxed structure of Zn3Ni8.

Density of states at the Fermi level, states/eV per atom: 1.4771
ρ, g/cm3: 7.1
Final energy, eV per cell: -45.9
Crystal system: trigonal

Lattice parameters (Å, degrees): 5.4344 5.4344 5.4344 97.57 97.57 97.57
Element x y z (fractional)
Zn (0.0000, 0.5000, 0.5000)
Zn (0.5000, 0.0000, 0.5000)
Zn (0.5000, 0.5000, 0.0000)
Ni (0.0154, 0.6887, 0.9408)
Ni (0.0592, 0.9846, 0.3113)
Ni (0.3113, 0.0592, 0.9846)
Ni (0.3621, 0.3621, 0.3621)
Ni (0.6379, 0.6379, 0.6379)
Ni (0.6887, 0.9408, 0.0154)
Ni (0.9408, 0.0154, 0.6887)
Ni (0.9846, 0.3113, 0.0592)


No. 10
## RbTl (PBE-GGA)

Data for a relaxed structure of RbTl.

Offset from the most stable computed form, eV per atom: 0.0267
Density of states at the Fermi level, states/eV per atom: 1.0727
ρ, g/cm3: 4.9
Crystal system: hexagonal

Lattice parameters (Å, degrees): 10.6836 10.6836 5.9490 90.00 90.00 120.00
Element x y z (fractional)
Rb (0.1815, 0.3630, 0.2500)
Rb (0.1815, 0.8185, 0.2500)
Rb (0.3630, 0.1815, 0.7500)
Rb (0.6370, 0.8185, 0.2500)
Rb (0.8185, 0.1815, 0.7500)
Rb (0.8185, 0.6370, 0.7500)
Tl (0.1286, 0.5643, 0.7500)
Tl (0.4357, 0.5643, 0.7500)
Tl (0.4357, 0.8714, 0.7500)
Tl (0.5643, 0.1286, 0.2500)
Tl (0.5643, 0.4357, 0.2500)
Tl (0.8714, 0.4357, 0.2500)


No. 11
## TlInGeO4 (PBE-GGA)

Data for a relaxed structure of TlInGeO4.

Uncorrected formation energy, eV/atom: -1.370
Density of states at the Fermi level, states/eV per atom: 0.0000
ρ, g/cm3: 6.2
Crystal system: monoclinic

Lattice parameters (Å, degrees): 5.5611 5.7342 7.6382 90.00 93.30 90.00
Element x y z (fractional)
Tl (0.2317, 0.2500, 0.1326)
Tl (0.7683, 0.7500, 0.8674)
In (0.1871, 0.7500, 0.4666)
In (0.8129, 0.2500, 0.5334)
Ge (0.3283, 0.2500, 0.6546)
Ge (0.6717, 0.7500, 0.3454)
O (0.1111, 0.0171, 0.6653)
O (0.1111, 0.4829, 0.6653)
O (0.3934, 0.7500, 0.2233)
O (0.4328, 0.2500, 0.4366)
O (0.5672, 0.7500, 0.5634)
O (0.6066, 0.2500, 0.7767)
O (0.8889, 0.5171, 0.3347)
O (0.8889, 0.9829, 0.3347)


No. 12
## Pu3Cd (PBE-GGA)

Data for a relaxed structure of Pu3Cd.

Offset from the most stable computed form, eV per atom: 0.1611
Density of states at the Fermi level, states/eV per atom: 6.1751
ρ, g/cm3: 14.9
Crystal system: tetragonal

Lattice parameters (Å, degrees): 5.1083 5.1083 7.2057 90.00 90.00 90.00
Element x y z (fractional)
Pu (0.0000, 0.0000, 0.0000)
Pu (0.0000, 0.5000, 0.2500)
Pu (0.0000, 0.5000, 0.7500)
Pu (0.5000, 0.0000, 0.2500)
Pu (0.5000, 0.0000, 0.7500)
Pu (0.5000, 0.5000, 0.5000)
Cd (0.0000, 0.0000, 0.5000)
Cd (0.5000, 0.5000, 0.0000)